No. 1
First-principles (PBE) data for a geometry-optimized NdAuSeO structure, as listed in OQMD.

abc: 7.318 6.386 6.360
angles: 90.00 90.39 90.00
Fractional coordinates of all 16 atoms:
Nd 0.119 0.006 0.252
Nd 0.119 0.494 0.752
Nd 0.881 0.506 0.248
Nd 0.881 0.994 0.748
Au 0.451 0.211 0.513
Au 0.451 0.289 0.013
Au 0.549 0.711 0.987
Au 0.549 0.789 0.487
Se 0.306 0.516 0.297
Se 0.306 0.984 0.797
Se 0.694 0.016 0.203
Se 0.694 0.484 0.703
O 0.008 0.743 0.000
O 0.008 0.757 0.500
O 0.992 0.243 0.500
O 0.992 0.257 0.000

Results
M_tot: 0.000 μB/f.u.
Calculated total energy: -92.3 eV per cell
Space group: P2_1/c

=====

No. 2
First-principles (PBE) data for a geometry-optimized LaReAsO structure, as listed in OQMD.

abc: 4.030 4.030 9.048
angles: 90.00 90.00 90.00
Fractional coordinates of all 8 atoms:
La 0.250 0.250 0.137
La 0.750 0.750 0.863
Re 0.250 0.750 0.500
Re 0.750 0.250 0.500
As 0.250 0.250 0.669
As 0.750 0.750 0.331
O 0.250 0.750 0.000
O 0.750 0.250 0.000

Results
Energy above the most stable polymorph in this dataset: 0.0 kJ per mole of atoms
M_tot: 0.008 μB/f.u.
Calculated total energy: -67.1 eV per cell
Space group: P4/nmm

=====

No. 3
First-principles (PBE) data for a geometry-optimized SrDyTe2AuS structure, as listed in OQMD.

abc: 7.608 7.608 10.582
angles: 90.00 90.00 147.08
Fractional coordinates of all 12 atoms:
Sr 0.227 0.773 0.750
Sr 0.773 0.227 0.250
Dy 0.500 0.500 0.000
Dy 0.500 0.500 0.500
Te 0.149 0.851 0.057
Te 0.149 0.851 0.443
Te 0.851 0.149 0.557
Te 0.851 0.149 0.943
Au 0.020 0.980 0.250
Au 0.980 0.020 0.750
S 0.423 0.577 0.250
S 0.577 0.423 0.750

Results
M_tot: 0.002 μB/f.u.
Calculated total energy: -55.4 eV per cell
Space group: Cmcm

=====

No. 4
First-principles (PBE) data for a geometry-optimized BaPmBi structure, as listed in OQMD.

abc: 9.267 9.267 4.158
angles: 90.00 90.00 120.00
Fractional coordinates of all 9 atoms:
Ba 0.000 0.275 0.000
Ba 0.275 0.000 0.000
Ba 0.725 0.725 0.000
Pm 0.000 0.000 0.500
Pm 0.333 0.667 0.000
Pm 0.667 0.333 0.000
Bi 0.000 0.618 0.500
Bi 0.382 0.382 0.500
Bi 0.618 0.000 0.500

Results
Energy above the most stable polymorph in this dataset: 0.0 kJ per mole of atoms
M_tot: 0.034 μB/f.u.
Calculated total energy: -34.0 eV per cell
Space group: P-62m

=====

No. 5
First-principles (PBE) data for a geometry-optimized LuInSnTe3 structure, as listed in OQMD.

abc: 7.804 7.804 12.371
angles: 90.00 90.00 148.36
Fractional coordinates of all 12 atoms:
Lu 0.000 0.000 0.000
Lu 0.000 0.000 0.500
In 0.320 0.680 0.750
In 0.680 0.320 0.250
Sn 0.355 0.645 0.250
Sn 0.645 0.355 0.750
Te 0.006 0.994 0.250
Te 0.359 0.641 0.000
Te 0.359 0.641 0.500
Te 0.641 0.359 0.000
Te 0.641 0.359 0.500
Te 0.994 0.006 0.750

Results
Energy above the most stable polymorph in this dataset: 0.0 kJ per mole of atoms
M_tot: 0.017 μB/f.u.
Calculated total energy: -48.6 eV per cell
Space group: Cmcm

=====

No. 6
First-principles (PBE) data for a geometry-optimized Cu2SnBi structure, as listed in OQMD.

abc: 6.863 6.863 6.863
angles: 90.00 90.00 90.00
Fractional coordinates of all 16 atoms:
Cu 0.230 0.230 0.230
Cu 0.230 0.230 0.770
Cu 0.230 0.770 0.230
Cu 0.230 0.770 0.770
Cu 0.770 0.230 0.230
Cu 0.770 0.230 0.770
Cu 0.770 0.770 0.230
Cu 0.770 0.770 0.770
Sn 0.000 0.000 0.000
Sn 0.000 0.000 0.500
Sn 0.000 0.500 0.000
Sn 0.500 0.000 0.000
Bi 0.000 0.500 0.500
Bi 0.500 0.000 0.500
Bi 0.500 0.500 0.000
Bi 0.500 0.500 0.500

Results
Calculated total energy: -58.1 eV per cell
Space group: Pm-3m

=====

> The lowest calculated total energy belongs to which entry?

NdAuSeO

=====

> The highest calculated total energy belongs to which entry?

BaPmBi

=====

> What is the formula in the first record?

NdAuSeO

=====

> Which value of calculated total energy does entry 6 give?

-58.1 eV per cell